DFT (PBE) results for a geometry-optimized Ca2AlGe3Rh4 structure.

It has space group P-4m2 (No. 115), with a = 4.195 Å, b = 4.195 Å, c = 10.328 Å, α = 90.00°, β = 90.00° and γ = 90.00°. The asymmetric unit holds Ca at (0.000, 0.500, 0.246), Al at (0.000, 0.000, 0.500), Ge at (0.000, 0.500, 0.873), Ge at (0.500, 0.500, 0.500), Rh at (0.000, 0.000, 0.000), Rh at (0.000, 0.500, 0.633) and Rh at (0.500, 0.500, 0.000).

The calculation puts the density of states at the Fermi level at 3.38 states/eV per cell. As for the formation energy: -0.80 eV/atom. As for the total energy: -5.8964 eV per atom.